[1]
An optimized crystal structure of Bi3IrN. Source: Alexandria, functional PBE.

Computed properties:
Polymorph energy (0 for the lowest one) = 1.1068 eV/atom
Total magnetic moment = 0.0 μB per cell
Fermi-level density of states = 0.7517 states/eV per atom
Space-group type = Pm-3m (221)
Formation energy (no corrections) = 1552 meV/atom
Theoretical density = 9299 kg/m³
Energy = -4.214 eV/atom

a = 5.299 Å, b = 5.299 Å, c = 5.299 Å
α = 90.00°, β = 90.00°, γ = 90.00°
Element x y z (fractional)
Bi1 0.000 0.000 0.500
Bi2 0.000 0.500 0.000
Bi3 0.500 0.000 0.000
Ir1 0.000 0.000 0.000
N1 0.500 0.500 0.500

[2]
An optimized crystal structure of BiIrN2. Source: Alexandria, functional PBE.

Computed properties:
Total magnetic moment = 0.0 μB per cell
Fermi-level density of states = 0.2315 states/eV per atom
Space-group type = I-42d (122)
Formation energy (no corrections) = 859 meV/atom
Theoretical density = 10844 kg/m³
Energy = -6.489 eV/atom

a = 5.463 Å, b = 5.463 Å, c = 8.810 Å
α = 90.00°, β = 90.00°, γ = 90.00°
Element x y z (fractional)
Bi1 0.000 0.000 0.000
Bi2 0.000 0.500 0.250
Bi3 0.500 0.000 0.750
Bi4 0.500 0.500 0.500
Ir1 0.000 0.000 0.500
Ir2 0.000 0.500 0.750
Ir3 0.500 0.000 0.250
Ir4 0.500 0.500 0.000
N1 0.164 0.250 0.625
N2 0.250 0.664 0.875
N3 0.250 0.836 0.375
N4 0.336 0.250 0.125
N5 0.664 0.750 0.125
N6 0.750 0.164 0.375
N7 0.750 0.336 0.875
N8 0.836 0.750 0.625

[3]
An optimized crystal structure of BiIrN2. Source: Alexandria, functional PBE.

Computed properties:
Total magnetic moment = 0.0 μB per cell
Fermi-level density of states = 0.6538 states/eV per atom
Space-group type = R-3m (166)
Formation energy (no corrections) = 718 meV/atom
Theoretical density = 11779 kg/m³
Energy = -6.630 eV/atom

a = 3.254 Å, b = 3.254 Å, c = 19.794 Å
α = 90.00°, β = 90.00°, γ = 120.00°
Element x y z (fractional)
Bi1 0.000 0.000 0.000
Bi2 0.333 0.667 0.667
Bi3 0.667 0.333 0.333
Ir1 0.000 0.000 0.500
Ir2 0.333 0.667 0.167
Ir3 0.667 0.333 0.833
N1 0.000 0.000 0.121
N2 0.000 0.000 0.879
N3 0.333 0.667 0.545
N4 0.333 0.667 0.788
N5 0.667 0.333 0.212
N6 0.667 0.333 0.455

[4]
An optimized crystal structure of BiIrN3. Source: Alexandria, functional PBE.

Computed properties:
Total magnetic moment = 0.0 μB per cell
Fermi-level density of states = 0.7834 states/eV per atom
Space-group type = Pm-3m (221)
Formation energy (no corrections) = 1180 meV/atom
Theoretical density = 11975 kg/m³
Energy = -6.364 eV/atom

a = 3.946 Å, b = 3.946 Å, c = 3.946 Å
α = 90.00°, β = 90.00°, γ = 90.00°
Element x y z (fractional)
Bi1 0.000 0.000 0.000
Ir1 0.500 0.500 0.500
N1 0.000 0.500 0.500
N2 0.500 0.000 0.500
N3 0.500 0.500 0.000

[5]
An optimized crystal structure of BiIr2N. Source: Alexandria, functional PBE.

Computed properties:
Polymorph energy (0 for the lowest one) = 0.0000 eV/atom
Total magnetic moment = 0.0 μB per cell
Fermi-level density of states = 0.7210 states/eV per atom
Space-group type = I-42d (122)
Formation energy (no corrections) = 489 meV/atom
Theoretical density = 13615 kg/m³
Energy = -6.994 eV/atom

a = 5.056 Å, b = 5.056 Å, c = 11.590 Å
α = 90.00°, β = 90.00°, γ = 90.00°
Element x y z (fractional)
Bi1 0.000 0.000 0.000
Bi2 0.000 0.500 0.250
Bi3 0.500 0.000 0.750
Bi4 0.500 0.500 0.500
Ir1 0.113 0.250 0.625
Ir2 0.250 0.613 0.875
Ir3 0.250 0.887 0.375
Ir4 0.387 0.250 0.125
Ir5 0.613 0.750 0.125
Ir6 0.750 0.113 0.375
Ir7 0.750 0.387 0.875
Ir8 0.887 0.750 0.625
N1 0.000 0.000 0.500
N2 0.000 0.500 0.750
N3 0.500 0.000 0.250
N4 0.500 0.500 0.000

[6]
An optimized crystal structure of Bi3IrN. Source: Alexandria, functional PBE.

Computed properties:
Polymorph energy (0 for the lowest one) = 0.0000 eV/atom
Total magnetic moment = 0.0 μB per cell
Fermi-level density of states = 0.3709 states/eV per atom
Space-group type = P-1 (2)
Formation energy (no corrections) = 445 meV/atom
Theoretical density = 11169 kg/m³
Energy = -5.321 eV/atom

a = 5.751 Å, b = 6.333 Å, c = 7.528 Å
α = 86.17°, β = 86.34°, γ = 65.01°
Element x y z (fractional)
Bi1 0.091 0.317 0.327
Bi2 0.321 0.869 0.859
Bi3 0.385 0.679 0.299
Bi4 0.615 0.321 0.701
Bi5 0.679 0.131 0.141
Bi6 0.909 0.683 0.673
Ir1 0.242 0.476 0.987
Ir2 0.758 0.524 0.013
N1 0.490 0.302 0.403
N2 0.510 0.698 0.597

[7]
An optimized crystal structure of BiIrN2. Source: Alexandria, functional PBE.

Computed properties:
Total magnetic moment = 0.0 μB per cell
Fermi-level density of states = 0.5585 states/eV per atom
Space-group type = R-3m (166)
Formation energy (no corrections) = 1000 meV/atom
Theoretical density = 10779 kg/m³
Energy = -6.348 eV/atom

a = 3.448 Å, b = 3.448 Å, c = 19.267 Å
α = 90.00°, β = 90.00°, γ = 120.00°
Element x y z (fractional)
Bi1 0.000 0.000 0.000
Bi2 0.333 0.667 0.667
Bi3 0.667 0.333 0.333
Ir1 0.000 0.000 0.500
Ir2 0.333 0.667 0.167
Ir3 0.667 0.333 0.833
N1 0.000 0.000 0.403
N2 0.000 0.000 0.597
N3 0.333 0.667 0.070
N4 0.333 0.667 0.264
N5 0.667 0.333 0.736
N6 0.667 0.333 0.930

[8]
An optimized crystal structure of Bi3IrN. Source: Alexandria, functional PBE.

Computed properties:
Polymorph energy (0 for the lowest one) = 0.3741 eV/atom
Total magnetic moment = 0.0 μB per cell
Fermi-level density of states = 0.6070 states/eV per atom
Space-group type = Pm-3m (221)
Formation energy (no corrections) = 819 meV/atom
Theoretical density = 12524 kg/m³
Energy = -4.947 eV/atom

a = 4.798 Å, b = 4.798 Å, c = 4.798 Å
α = 90.00°, β = 90.00°, γ = 90.00°
Element x y z (fractional)
Bi1 0.000 0.000 0.500
Bi2 0.000 0.500 0.000
Bi3 0.500 0.000 0.000
Ir1 0.500 0.500 0.500
N1 0.000 0.000 0.000

[9]
An optimized crystal structure of Bi2IrN. Source: Alexandria, functional PBE.

Computed properties:
Total magnetic moment = 0.0 μB per cell
Fermi-level density of states = 0.0648 states/eV per atom
Space-group type = I-42d (122)
Formation energy (no corrections) = 691 meV/atom
Theoretical density = 10847 kg/m³
Energy = -5.546 eV/atom

a = 5.940 Å, b = 5.940 Å, c = 10.832 Å
α = 90.00°, β = 90.00°, γ = 90.00°
Element x y z (fractional)
Bi1 0.212 0.250 0.125
Bi2 0.250 0.712 0.375
Bi3 0.250 0.788 0.875
Bi4 0.288 0.250 0.625
Bi5 0.712 0.750 0.625
Bi6 0.750 0.212 0.875
Bi7 0.750 0.288 0.375
Bi8 0.788 0.750 0.125
Ir1 0.000 0.000 0.500
Ir2 0.000 0.500 0.750
Ir3 0.500 0.000 0.250
Ir4 0.500 0.500 0.000
N1 0.000 0.000 0.000
N2 0.000 0.500 0.250
N3 0.500 0.000 0.750
N4 0.500 0.500 0.500

[10]
An optimized crystal structure of BiIr2N. Source: Alexandria, functional PBE.

Computed properties:
Polymorph energy (0 for the lowest one) = 1.0327 eV/atom
Total magnetic moment = 3.0 μB per cell
Fermi-level density of states = 1.4388 states/eV per atom
Space-group type = Fm-3m (225)
Formation energy (no corrections) = 1521 meV/atom
Theoretical density = 16113 kg/m³
Energy = -5.961 eV/atom

a = 6.303 Å, b = 6.303 Å, c = 6.303 Å
α = 90.00°, β = 90.00°, γ = 90.00°
Element x y z (fractional)
Bi1 0.000 0.000 0.000
Bi2 0.000 0.500 0.500
Bi3 0.500 0.000 0.500
Bi4 0.500 0.500 0.000
Ir1 0.250 0.250 0.250
Ir2 0.250 0.250 0.750
Ir3 0.250 0.750 0.250
Ir4 0.250 0.750 0.750
Ir5 0.750 0.250 0.250
Ir6 0.750 0.250 0.750
Ir7 0.750 0.750 0.250
Ir8 0.750 0.750 0.750
N1 0.000 0.000 0.500
N2 0.000 0.500 0.000
N3 0.500 0.000 0.000
N4 0.500 0.500 0.500

[11]
An optimized crystal structure of NbBi2IrN. Source: Alexandria, functional PBE.

Computed properties:
Total magnetic moment = 0.7 μB per cell
Fermi-level density of states = 0.7073 states/eV per atom
Space-group type = P4/mmm (123)
Formation energy (no corrections) = 515 meV/atom
Theoretical density = 12044 kg/m³
Energy = -6.488 eV/atom

a = 4.938 Å, b = 4.938 Å, c = 4.055 Å
α = 90.00°, β = 90.00°, γ = 90.00°
Element x y z (fractional)
Nb1 0.000 0.000 0.000
Bi1 0.000 0.500 0.500
Bi2 0.500 0.000 0.500
Ir1 0.500 0.500 0.000
N1 0.000 0.000 0.500

[12]
An optimized crystal structure of BiIrN2O. Source: Alexandria, functional PBE.

Computed properties:
Total magnetic moment = 1.9 μB per cell
Fermi-level density of states = 0.9724 states/eV per atom
Space-group type = P4/mmm (123)
Formation energy (no corrections) = 2040 meV/atom
Theoretical density = 9830 kg/m³
Energy = -4.831 eV/atom

a = 4.284 Å, b = 4.284 Å, c = 4.097 Å
α = 90.00°, β = 90.00°, γ = 90.00°
Element x y z (fractional)
Bi1 0.000 0.000 0.000
Ir1 0.500 0.500 0.500
N1 0.000 0.500 0.000
N2 0.500 0.000 0.000
O1 0.000 0.000 0.500